DFT (GGA-PBE) results for As3Pb12Au5 after structural relaxation.

Structure (POSCAR):
```
As3Pb12Au5
1.0
-7.161 2.215 -12.927
10.071 -10.909 -1.690
-9.845 -3.900 10.543
Pb As Au
48 12 20
direct
0.443 0.668 0.079 Pb
0.864 0.275 0.443 Pb
0.589 0.864 0.421 Pb
0.911 0.079 0.636 Pb
0.411 0.136 0.579 Pb
0.332 0.775 0.411 Pb
0.636 0.057 0.225 Pb
0.079 0.911 0.136 Pb
0.557 0.225 0.136 Pb
0.421 0.057 0.332 Pb
0.557 0.332 0.921 Pb
0.089 0.168 0.225 Pb
0.225 0.668 0.089 Pb
0.136 0.411 0.079 Pb
0.275 0.411 0.832 Pb
0.864 0.589 0.921 Pb
0.089 0.921 0.364 Pb
0.921 0.089 0.864 Pb
0.364 0.943 0.775 Pb
0.275 0.864 0.943 Pb
0.775 0.332 0.911 Pb
0.775 0.443 0.364 Pb
0.832 0.921 0.057 Pb
0.668 0.225 0.589 Pb
0.668 0.443 0.579 Pb
0.168 0.079 0.943 Pb
0.225 0.557 0.636 Pb
0.057 0.636 0.725 Pb
0.921 0.832 0.557 Pb
0.832 0.911 0.275 Pb
0.411 0.275 0.332 Pb
0.911 0.832 0.775 Pb
0.725 0.136 0.057 Pb
0.636 0.579 0.911 Pb
0.579 0.636 0.411 Pb
0.579 0.943 0.668 Pb
0.332 0.557 0.421 Pb
0.443 0.775 0.864 Pb
0.943 0.579 0.168 Pb
0.725 0.589 0.168 Pb
0.168 0.089 0.725 Pb
0.136 0.725 0.557 Pb
0.057 0.421 0.832 Pb
0.079 0.168 0.443 Pb
0.421 0.364 0.589 Pb
0.589 0.725 0.668 Pb
0.943 0.364 0.275 Pb
0.364 0.421 0.089 Pb
0.750 0.375 0.125 As
0.125 0.875 0.750 As
0.375 0.625 0.250 As
0.875 0.750 0.125 As
0.750 0.875 0.625 As
0.250 0.625 0.875 As
0.875 0.125 0.250 As
0.625 0.250 0.375 As
0.125 0.250 0.875 As
0.625 0.375 0.750 As
0.250 0.125 0.375 As
0.375 0.750 0.625 As
0.500 0.500 0.000 Au
0.500 0.000 0.000 Au
0.875 0.250 0.625 Au
0.500 0.500 0.500 Au
0.375 0.125 0.750 Au
0.000 0.000 0.500 Au
0.750 0.125 0.875 Au
0.000 0.000 0.000 Au
0.000 0.500 0.000 Au
0.625 0.750 0.875 Au
0.750 0.625 0.375 Au
0.250 0.875 0.125 Au
0.875 0.625 0.750 Au
0.250 0.375 0.625 Au
0.125 0.375 0.250 Au
0.500 0.000 0.500 Au
0.625 0.875 0.250 Au
0.375 0.250 0.125 Au
0.125 0.750 0.375 Au
0.000 0.500 0.500 Au
```

Values from the calculation:
Space group = Ia-3d, No. 230
Energy of formation from the pure elements = 0.10 eV/atom

***

DFT (GGA-PBE) results for As2Pb3Au3 after structural relaxation.

Structure (POSCAR):
```
As2Pb3Au3
1.0
4.452 0.000 0.000
-2.226 6.239 0.000
0.000 0.000 14.415
Pb Au As
6 6 4
direct
0.508 0.016 0.750 Pb
0.492 0.984 0.250 Pb
0.836 0.672 0.100 Pb
0.164 0.328 0.600 Pb
0.836 0.672 0.400 Pb
0.164 0.328 0.900 Pb
0.606 0.213 0.466 Au
0.257 0.513 0.250 Au
0.606 0.213 0.034 Au
0.394 0.787 0.534 Au
0.743 0.487 0.750 Au
0.394 0.787 0.966 Au
0.098 0.197 0.127 As
0.902 0.803 0.873 As
0.902 0.803 0.627 As
0.098 0.197 0.373 As
```

Values from the calculation:
Space group = Cmcm, No. 63
Energy of formation from the pure elements = -0.01 eV/atom

***

DFT (GGA-PBE) results for AsPb3Au8 after structural relaxation.

Structure (POSCAR):
```
AsPb3Au8
1.0
-5.477 1.262 -0.809
-4.030 -3.604 1.735
-3.412 3.484 8.604
Pb Au As
3 8 1
direct
0.623 0.623 0.131 Pb
0.009 0.009 0.973 Pb
0.495 0.495 0.516 Pb
0.062 0.561 0.315 Au
0.062 0.563 0.812 Au
0.563 0.062 0.812 Au
0.563 0.563 0.812 Au
0.561 0.062 0.315 Au
0.062 0.062 0.315 Au
0.812 0.812 0.563 Au
0.312 0.312 0.065 Au
0.126 0.126 0.621 As
```

Values from the calculation:
Space group = R3m, No. 160
Energy of formation from the pure elements = 0.00 eV/atom